An optimized crystal structure of HgSb2Au. Source: Alexandria, functional PBE.

Calculated values
Size of the total moment ... 0.00 μB per cell
Space-group type ... Cmm2 (35)
VASP energy ... -11.12 eV/cell
ρ ... 10.83 g/cm³
Raw formation energy ... 175 meV/atom

Cell: 3.284 3.284 9.643 Å, 90.00 90.00 108.95°
Fractional positions:
Hg  0.500  0.500  0.729
Sb  0.000  0.000  0.990
Sb  0.500  0.500  0.280
Au  0.000  0.000  0.501